Entry 1:
VASP calculation (PBE) on a relaxed structure of CdInSn2.

abc: 11.800 11.800 11.800
angles: 16.12 16.12 16.12
Element x y z (fractional)
Cd  0.000  0.000  0.000
In  0.500  0.500  0.500
Sn  0.087  0.087  0.087
Sn  0.913  0.913  0.913

Properties
The space group is No. 166. The calculation puts the density of states at the Fermi level at 2.0 states/eV per cell. As for the energy above the most stable polymorph in this dataset: 0.030 eV per atom. Its crystal system is trigonal. The raw total energy is -11.367 eV/cell. For the formation energy, the calculation gives 0.29 eV/f.u.



Entry 2:
VASP calculation (PBE) on a relaxed structure of SrLiFe2I8.

abc: 8.390 8.390 8.583
angles: 90.00 90.00 120.00
Element x y z (fractional)
Sr  0.000  0.000  0.000
Li  0.000  0.000  0.500
Fe  0.333  0.667  0.828
Fe  0.667  0.333  0.172
I  0.158  0.327  0.723
I  0.169  0.842  0.723
I  0.327  0.169  0.277
I  0.333  0.667  0.118
I  0.667  0.333  0.882
I  0.673  0.831  0.723
I  0.831  0.158  0.277
I  0.842  0.673  0.277

Properties
The space group is No. 147. The calculation puts the density of states at the Fermi level at 8.1 states/eV per cell. Its crystal system is trigonal. The raw total energy is -40.590 eV/cell. As for the formation energy from raw total energies: -639 meV per atom.



Entry 3:
VASP calculation (PBE) on a relaxed structure of Co2CuAu.

abc: 8.736 8.736 8.736
angles: 17.62 17.62 17.62
Element x y z (fractional)
Co  0.000  0.000  0.000
Co  0.261  0.261  0.261
Cu  0.515  0.515  0.515
Au  0.758  0.758  0.758

Properties
The space group is No. 160. The calculation puts the density of states at the Fermi level at 3.4 states/eV per cell. Its crystal system is trigonal. The raw total energy is -20.765 eV/cell. For the formation energy, the calculation gives 0.82 eV/f.u.



Entry 4:
VASP calculation (PBE) on a relaxed structure of Sr2NdMnSe5.

abc: 9.552 9.552 12.890
angles: 90.00 90.00 154.45
Element x y z (fractional)
Sr  0.117  0.883  0.500
Sr  0.121  0.879  0.849
Sr  0.879  0.121  0.349
Sr  0.883  0.117  0.000
Nd  0.199  0.801  0.193
Nd  0.801  0.199  0.693
Mn  0.445  0.555  0.586
Mn  0.555  0.445  0.086
Se  0.032  0.968  0.177
Se  0.302  0.698  0.848
Se  0.319  0.681  0.527
Se  0.352  0.648  0.173
Se  0.500  0.500  0.420
Se  0.500  0.500  0.920
Se  0.648  0.352  0.673
Se  0.681  0.319  0.027
Se  0.698  0.302  0.348
Se  0.968  0.032  0.677

Properties
The space group is No. 36. The calculation puts the density of states at the Fermi level at 6.5 states/eV per cell. Its crystal system is orthorhombic. The raw total energy is -96.760 eV/cell. As for the formation energy from raw total energies: -1517 meV per atom.



Entry 5:
VASP calculation (PBE) on a relaxed structure of LiZr3Hg4.

abc: 3.471 4.962 9.865
angles: 90.00 90.00 90.00
Element x y z (fractional)
Li  0.000  0.000  0.000
Zr  0.000  0.000  0.500
Zr  0.000  0.500  0.251
Zr  0.000  0.500  0.749
Hg  0.500  0.000  0.237
Hg  0.500  0.000  0.763
Hg  0.500  0.500  0.000
Hg  0.500  0.500  0.500

Properties
The space group is No. 47. The calculation puts the density of states at the Fermi level at 4.4 states/eV per cell. Its crystal system is orthorhombic. The raw total energy is -30.186 eV/cell. For the formation energy, the calculation gives -1.42 eV/f.u.



Entry 6:
VASP calculation (PBE) on a relaxed structure of AcTbPmTm.

abc: 5.848 5.848 5.848
angles: 60.00 60.00 60.00
Element x y z (fractional)
Ac  0.000  0.000  0.000
Tb  0.750  0.750  0.750
Pm  0.500  0.500  0.500
Tm  0.250  0.250  0.250

Properties
The space group is No. 216. The calculation puts the density of states at the Fermi level at 7.1 states/eV per cell. As for the energy above the most stable polymorph in this dataset: 0.060 eV per atom. Its crystal system is cubic. The raw total energy is -17.497 eV/cell. For the formation energy, the calculation gives 0.46 eV/f.u.



Entry 7:
VASP calculation (PBE) on a relaxed structure of PaMn4Re.

abc: 4.925 4.925 4.925
angles: 60.00 60.00 60.00
Element x y z (fractional)
Pa  0.000  0.000  0.000
Mn  0.127  0.624  0.624
Mn  0.624  0.127  0.624
Mn  0.624  0.624  0.127
Mn  0.624  0.624  0.624
Re  0.250  0.250  0.250

Properties
The space group is No. 216. The calculation puts the density of states at the Fermi level at 9.9 states/eV per cell. Its crystal system is cubic. The raw total energy is -57.829 eV/cell. For the formation energy, the calculation gives 0.79 eV/f.u.



Entry 8:
VASP calculation (PBE) on a relaxed structure of CdAgBiF6.

abc: 6.166 6.166 9.607
angles: 90.00 90.00 120.00
Element x y z (fractional)
Cd  0.333  0.667  0.250
Cd  0.667  0.333  0.750
Ag  0.000  0.000  0.000
Ag  0.000  0.000  0.500
Bi  0.333  0.667  0.750
Bi  0.667  0.333  0.250
F  0.001  0.357  0.132
F  0.001  0.644  0.368
F  0.356  0.357  0.368
F  0.356  0.999  0.132
F  0.357  0.001  0.632
F  0.357  0.356  0.868
F  0.643  0.644  0.132
F  0.643  0.999  0.368
F  0.644  0.001  0.868
F  0.644  0.643  0.632
F  0.999  0.356  0.632
F  0.999  0.643  0.868

Properties
The space group is No. 163. The calculation puts the density of states at the Fermi level at 0.0 states/eV per cell. Its crystal system is trigonal. The raw total energy is -73.773 eV/cell. As for the formation energy from raw total energies: -2001 meV per atom.



Entry 9:
VASP calculation (PBE) on a relaxed structure of TlBiS2.

abc: 5.103 5.103 5.103
angles: 60.00 60.00 60.00
Element x y z (fractional)
Tl  0.000  0.000  0.000
Bi  0.500  0.500  0.500
S  0.250  0.250  0.250
S  0.750  0.750  0.750

Properties
The space group is No. 225. The calculation puts the density of states at the Fermi level at 1.1 states/eV per cell. Its crystal system is cubic. The raw total energy is -14.740 eV/cell. As for the formation energy from raw total energies: -60 meV per atom.



Entry 10:
VASP calculation (PBE) on a relaxed structure of NaCuI2O8.

abc: 6.122 6.122 6.122
angles: 108.38 108.38 111.67
Element x y z (fractional)
Na  0.000  0.000  0.000
Cu  0.250  0.750  0.500
I  0.500  0.500  0.000
I  0.750  0.250  0.500
O  0.341  0.133  0.792
O  0.341  0.550  0.208
O  0.393  0.089  0.305
O  0.450  0.659  0.792
O  0.784  0.089  0.695
O  0.867  0.659  0.208
O  0.911  0.216  0.305
O  0.911  0.607  0.695

Properties
The space group is No. 119. The calculation puts the density of states at the Fermi level at 4.8 states/eV per cell. Its crystal system is tetragonal. The raw total energy is -51.551 eV/cell. As for the formation energy from raw total energies: -281 meV per atom.



Entry 11:
VASP calculation (PBE) on a relaxed structure of LiY2Tc.

abc: 3.178 3.178 9.760
angles: 90.00 90.00 109.56
Element x y z (fractional)
Li  0.000  0.000  0.000
Y  0.000  0.000  0.398
Y  0.500  0.500  0.725
Tc  0.500  0.500  0.193

Properties
The space group is No. 35. The calculation puts the density of states at the Fermi level at 4.2 states/eV per cell. Its crystal system is orthorhombic. The raw total energy is -23.506 eV/cell. For the formation energy, the calculation gives 1.70 eV/f.u.



Entry 12:
VASP calculation (PBE) on a relaxed structure of Cs4Rb2Na2Au.

abc: 9.714 9.714 8.110
angles: 96.49 96.49 63.30
Element x y z (fractional)
Cs  0.132  0.662  0.714
Cs  0.338  0.868  0.286
Cs  0.662  0.132  0.714
Cs  0.868  0.338  0.286
Rb  0.346  0.346  0.187
Rb  0.654  0.654  0.813
Na  0.145  0.145  0.766
Na  0.855  0.855  0.234
Au  0.000  0.000  0.500

Properties
The space group is No. 12. The calculation puts the density of states at the Fermi level at 5.9 states/eV per cell. Its crystal system is monoclinic. The raw total energy is -11.803 eV/cell. For the formation energy, the calculation gives -0.54 eV/f.u.



Entry 13:
VASP calculation (PBE) on a relaxed structure of Ho4ErSc5.

abc: 7.502 7.502 7.502
angles: 99.24 99.24 132.74
Element x y z (fractional)
Ho  0.048  0.342  0.390
Ho  0.342  0.952  0.294
Ho  0.658  0.048  0.706
Ho  0.952  0.658  0.610
Er  0.775  0.775  0.000
Sc  0.240  0.240  0.000
Sc  0.267  0.638  0.916
Sc  0.350  0.267  0.628
Sc  0.638  0.722  0.372
Sc  0.722  0.350  0.084

Properties
The space group is No. 79. The calculation puts the density of states at the Fermi level at 16.9 states/eV per cell. As for the energy above the most stable polymorph in this dataset: 0.049 eV per atom. Its crystal system is tetragonal. The raw total energy is -51.505 eV/cell. For the formation energy, the calculation gives 3.03 eV/f.u.



Entry 14:
VASP calculation (PBE) on a relaxed structure of Er7Zn2Au2.

abc: 6.476 6.476 7.522
angles: 90.00 90.00 110.35
Element x y z (fractional)
Er  0.000  0.000  0.000
Er  0.000  0.500  0.283
Er  0.000  0.500  0.717
Er  0.500  0.000  0.283
Er  0.500  0.000  0.717
Er  0.500  0.500  0.262
Er  0.500  0.500  0.738
Zn  0.293  0.707  0.000
Zn  0.707  0.293  0.000
Au  0.191  0.191  0.500
Au  0.809  0.809  0.500

Properties
The space group is No. 65. The calculation puts the density of states at the Fermi level at 12.0 states/eV per cell. Its crystal system is orthorhombic. The raw total energy is -42.935 eV/cell. For the formation energy, the calculation gives -1.89 eV/f.u.



Entry 15:
VASP calculation (PBE) on a relaxed structure of TbCe2Hg.

abc: 3.411 3.411 9.918
angles: 90.00 90.00 90.00
Element x y z (fractional)
Tb  0.000  0.000  0.000
Ce  0.500  0.500  0.268
Ce  0.500  0.500  0.732
Hg  0.000  0.000  0.500

Properties
The space group is No. 123. The calculation puts the density of states at the Fermi level at 11.7 states/eV per cell. As for the energy above the most stable polymorph in this dataset: 0.054 eV per atom. Its crystal system is tetragonal. The raw total energy is -17.025 eV/cell. For the formation energy, the calculation gives -0.22 eV/f.u.